No. 1
# Ce2Si4TcNi3

An optimized crystal structure of Ce2Si4TcNi3 (GGA-PBE, Alexandria via LeMat-Bulk).

Lattice parameters (Å, degrees): 4.0711 4.0711 9.5736 90.00 90.00 90.00
Closest atoms and distances in Å follow each position.
Space group P-4m2 (No. 115)
Unique sites:
1 Ce 0.0000 0.5000 0.2455  8 Si 3.10-3.11, 6 Ni 3.12-3.17, 2 Tc 3.17
2 Si 0.0000 0.0000 0.0000  4 Ni 2.34
3 Si 0.0000 0.5000 0.6337  3 Ni 2.36-2.40, 2 Tc 2.40
4 Si 0.5000 0.5000 0.0000  4 Ni 2.34
5 Tc 0.0000 0.0000 0.5000  4 Si 2.40
6 Ni 0.0000 0.5000 0.8801  5 Si 2.34-2.36
7 Ni 0.5000 0.5000 0.5000  4 Si 2.40

## Properties
- Calculated total energy: -69.1 eV/f.u.
- Formation energy without anion corrections: -7.789 eV per formula unit

***

No. 2
# CeSi2TcNi2

An optimized crystal structure of CeSi2TcNi2 (GGA-PBE, Alexandria via LeMat-Bulk).

Lattice parameters (Å, degrees): 4.5585 4.5585 5.1581 90.00 90.00 90.00
Closest atoms and distances in Å follow each position.
Space group P4/mmm (No. 123)
Unique sites:
1 Ce 0.0000 0.0000 0.0000  2 Tc 2.58
2 Si 0.0000 0.5000 0.5000  2 Tc 2.28
3 Tc 0.0000 0.0000 0.5000  4 Si 2.28
4 Ni 0.5000 0.5000 0.2528  2 Ni 2.55-2.61, 4 Si 2.61

## Properties
- Calculated total energy: -39.0 eV/f.u.
- Formation energy without anion corrections: -0.292 eV per formula unit

***

No. 3
# CeSi2TcNi

An optimized crystal structure of CeSi2TcNi (GGA-PBE, Alexandria via LeMat-Bulk).

Lattice parameters (Å, degrees): 4.0702 4.0702 10.0214 90.00 90.00 90.00
Closest atoms and distances in Å follow each position.
Space group I-4m2 (No. 119)
Unique sites:
1 Ce 0.0000 0.0000 0.0000  8 Si 3.14, 4 Tc 3.23, 4 Ni 3.23
2 Si 0.0000 0.0000 0.3736  2 Tc 2.38, 2 Ni 2.38, 1 Si 2.53
3 Tc 0.0000 0.5000 0.7500  4 Si 2.38
4 Ni 0.0000 0.5000 0.2500  4 Si 2.38

## Properties
- Calculated total energy: -36.5 eV/f.u.
- Formation energy without anion corrections: -3.576 eV per formula unit

***

No. 4
# Ce2Th2Si4Ni

An optimized crystal structure of Ce2Th2Si4Ni (GGA-PBE, Alexandria via LeMat-Bulk).

Lattice parameters (Å, degrees): 6.8920 6.8920 8.2315 90.00 90.00 90.00
Closest atoms and distances in Å follow each position.
Space group I4/mmm (No. 139)
Unique sites:
1 Ce 0.0000 0.0000 0.1804  1 Ni 2.63
2 Th 0.0000 0.5000 0.2500  8 Si 3.19, 4 Ce 3.49
3 Si 0.2322 0.2322 0.5000  1 Ni 2.26
4 Ni 0.0000 0.0000 0.5000  4 Si 2.26

## Properties
- Calculated total energy: -57.7 eV/f.u.
- Formation energy without anion corrections: -3.532 eV per formula unit

***

No. 5
# Ce2ThSi2Ni2

An optimized crystal structure of Ce2ThSi2Ni2 (GGA-PBE, Alexandria via LeMat-Bulk).

Lattice parameters (Å, degrees): 4.1216 4.1216 27.6581 90.00 90.00 120.00
Closest atoms and distances in Å follow each position.
Space group R-3m (No. 166, hexagonal axes)
Unique sites:
1 Ce 0.0000 0.0000 0.1377  3 Ce 2.87, 3 Si 2.97, 3 Ni 2.99
2 Th 0.0000 0.0000 0.0000  6 Ni 3.11, 6 Si 3.12
3 Si 0.0000 0.0000 0.2602  3 Ni 2.38
4 Ni 0.0000 0.0000 0.4055  3 Si 2.38

## Properties
- Calculated total energy: -46.5 eV/f.u.
- Formation energy without anion corrections: -4.775 eV per formula unit

***

No. 6
# CeTmSi2Ni2

An optimized crystal structure of CeTmSi2Ni2 (GGA-PBE, Alexandria via LeMat-Bulk).

Lattice parameters (Å, degrees): 4.0518 4.0518 7.6282 90.00 90.00 120.00
Closest atoms and distances in Å follow each position.
Space group P-3m1 (No. 164)
Unique sites:
1 Ce 0.0000 0.0000 0.0000  6 Si 3.05, 6 Ni 3.09
2 Tm 0.0000 0.0000 0.5000  6 Ni 2.95, 6 Si 2.99
3 Si 0.3333 0.6667 0.2565  3 Ni 2.34
4 Ni 0.3333 0.6667 0.7347  3 Si 2.34

## Properties
- Calculated total energy: -37.5 eV/f.u.
- Formation energy without anion corrections: -4.649 eV per formula unit

***

No. 7
# CeYSi2Ni2

An optimized crystal structure of CeYSi2Ni2 (GGA-PBE, Alexandria via LeMat-Bulk).

Lattice parameters (Å, degrees): 4.0458 4.0458 7.8308 90.00 90.00 120.00
Closest atoms and distances in Å follow each position.
Space group P-3m1 (No. 164)
Unique sites:
1 Ce 0.0000 0.0000 0.0000  6 Si 3.06, 6 Ni 3.07
2 Y 0.0000 0.0000 0.5000  6 Ni 3.03, 6 Si 3.04
3 Si 0.3333 0.6667 0.2521  3 Ni 2.34
4 Ni 0.3333 0.6667 0.7459  3 Si 2.34

## Properties
- Calculated total energy: -39.4 eV/f.u.
- Formation energy without anion corrections: -4.623 eV per formula unit

***

No. 8
# CeZnSi2Ni5

An optimized crystal structure of CeZnSi2Ni5 (GGA-PBE, Alexandria via LeMat-Bulk).

Lattice parameters (Å, degrees): 3.7525 3.7525 9.9920 90.00 90.00 90.00
Closest atoms and distances in Å follow each position.
Space group P4/mmm (No. 123)
Unique sites:
1 Ce 0.0000 0.0000 0.0000  4 Ni 2.65
2 Zn 0.0000 0.0000 0.5000  8 Ni 2.44
3 Si 0.5000 0.5000 0.2217  5 Ni 2.22-2.24
4 Ni 0.0000 0.5000 0.3445  2 Si 2.24, 2 Zn 2.44
5 Ni 0.5000 0.5000 0.0000  2 Si 2.22

## Properties
- Calculated total energy: -49.1 eV/f.u.
- Formation energy without anion corrections: -2.127 eV per formula unit

***

No. 9
# CeZn2SiNi2

An optimized crystal structure of CeZn2SiNi2 (GGA-PBE, Alexandria via LeMat-Bulk).

Lattice parameters (Å, degrees): 4.2992 4.2992 5.6404 90.00 90.00 90.00
Closest atoms and distances in Å follow each position.
Space group P4/mmm (No. 123)
Unique sites:
1 Ce 0.0000 0.0000 0.0000  2 Si 2.82
2 Zn 0.5000 0.5000 0.2431  4 Ni 2.59, 2 Zn 2.74-2.90
3 Si 0.0000 0.0000 0.5000  4 Ni 2.15
4 Ni 0.0000 0.5000 0.5000  2 Si 2.15

## Properties
- Calculated total energy: -27.0 eV/f.u.
- Formation energy without anion corrections: -1.551 eV per formula unit

***

No. 10
# Ce2ZnSiNi6

An optimized crystal structure of Ce2ZnSiNi6 (GGA-PBE, Alexandria via LeMat-Bulk).

Lattice parameters (Å, degrees): 5.9030 5.9030 31.7940 90.00 90.00 120.00
Closest atoms and distances in Å follow each position.
Space group R-3m (No. 166, hexagonal axes)
Unique sites:
1 Ce 0.0000 0.0000 0.1130  9 Ni 2.97-3.07
2 Ce 0.0000 0.0000 0.2824  12 Ni 2.89-3.06
3 Zn 0.0000 0.0000 0.4235  6 Ni 2.41-2.54, 1 Si 2.43
4 Si 0.0000 0.0000 0.0000  6 Ni 2.20
5 Si 0.0000 0.0000 0.5000  6 Ni 2.25, 2 Zn 2.43
6 Ni 0.0589 0.5294 0.3048  1 Si 2.20, 1 Zn 2.41, 2 Ni 2.43
7 Ni 0.0671 0.5335 0.8628  1 Si 2.25, 2 Ni 2.36

## Properties
- Calculated total energy: -56.5 eV/f.u.
- Formation energy without anion corrections: -3.261 eV per formula unit

***

No. 11
# CeSmNi

An optimized crystal structure of CeSmNi (GGA-PBE, Alexandria via LeMat-Bulk).

Lattice parameters (Å, degrees): 3.4755 3.4755 12.1126 90.00 90.00 90.00
Closest atoms and distances in Å follow each position.
Space group I4mm (No. 107)
Unique sites:
1 Ce 0.0000 0.0000 0.0000  4 Ni 2.87
2 Sm 0.0000 0.0000 0.7299  4 Ni 3.04, 1 Ce 3.27
3 Ni 0.0000 0.0000 0.3779  4 Ce 2.87, 4 Sm 3.04

## Properties
- Calculated total energy: -16.8 eV/f.u.

***

No. 12
# Ce2SmNi

An optimized crystal structure of Ce2SmNi (GGA-PBE, Alexandria via LeMat-Bulk).

Lattice parameters (Å, degrees): 3.5477 3.5477 30.2507 90.00 90.00 120.00
Closest atoms and distances in Å follow each position.
Space group R-3m (No. 166, hexagonal axes)
Unique sites:
1 Ce 0.0000 0.0000 0.1066  3 Ni 2.74
2 Sm 0.0000 0.0000 0.0000  2 Ce 3.22, 6 Sm 3.55
3 Ni 0.0000 0.0000 0.5000  6 Ce 2.74

## Properties
- Calculated total energy: -21.8 eV/f.u.

***

No. 13
# CeSm2Ni2

An optimized crystal structure of CeSm2Ni2 (GGA-PBE, Alexandria via LeMat-Bulk).

Lattice parameters (Å, degrees): 3.7791 6.2664 9.7197 90.00 90.00 90.00
Closest atoms and distances in Å follow each position.
Space group Immm (No. 71)
Unique sites:
1 Ce 0.0000 0.0000 0.0000  4 Ni 2.64
2 Sm 0.0000 0.5000 0.1934  4 Ni 2.96
3 Ni 0.0000 0.2062 0.5000  1 Ni 2.58, 2 Ce 2.64

## Properties
- Calculated total energy: -28.4 eV/f.u.

***

No. 14
# CeSm2Ni

An optimized crystal structure of CeSm2Ni (GGA-PBE, Alexandria via LeMat-Bulk).

Lattice parameters (Å, degrees): 6.8802 9.7828 6.4576 90.00 90.00 90.00
Closest atoms and distances in Å follow each position.
Space group Pnma (No. 62)
Unique sites:
1 Ce 0.0392 0.2500 0.1551  2 Ni 2.64-2.74
2 Sm 0.1786 0.0668 0.6698  2 Ni 2.87-2.92
3 Ni 0.1248 0.7500 0.4590  2 Ce 2.64-2.74, 4 Sm 2.87-2.92

## Properties
- Calculated total energy: -21.7 eV/f.u.

***

No. 15
# CeSm3Ni8

An optimized crystal structure of CeSm3Ni8 (GGA-PBE, Alexandria via LeMat-Bulk).

Lattice parameters (Å, degrees): 5.1209 5.1209 25.0891 90.00 90.00 120.00
Closest atoms and distances in Å follow each position.
Space group R3m (No. 160, hexagonal axes)
Unique sites:
1 Ce 0.0000 0.0000 0.0000  12 Ni 2.97-3.01, 4 Sm 3.12-3.15
2 Sm 0.0000 0.0000 0.3734  12 Ni 2.99-3.00, 3 Ce 3.12, 1 Sm 3.14
3 Sm 0.0000 0.0000 0.4984  12 Ni 3.00-3.02, 4 Sm 3.14-3.15
4 Sm 0.0000 0.0000 0.8745  12 Ni 3.00-3.02, 3 Sm 3.15, 1 Ce 3.15
5 Ni 0.0000 0.0000 0.1864  6 Ni 2.57
6 Ni 0.0000 0.0000 0.6861  6 Ni 2.55-2.56
7 Ni 0.9996 0.4998 0.4360  6 Ni 2.56-2.57
8 Ni 0.9996 0.4998 0.9367  6 Ni 2.55-2.57

## Properties
- Calculated total energy: -70.7 eV/f.u.

***

No. 16
# Ce3SmNi8

An optimized crystal structure of Ce3SmNi8 (GGA-PBE, Alexandria via LeMat-Bulk).

Lattice parameters (Å, degrees): 5.0626 5.0626 8.4524 90.00 90.00 120.00
Closest atoms and distances in Å follow each position.
Space group P3m1 (No. 156)
Unique sites:
1 Ce 0.0000 0.0000 0.0000  12 Ni 2.95-3.04, 4 Ce 3.06-3.25
2 Ce 0.0000 0.0000 0.3840  12 Ni 2.97-3.06, 3 Sm 3.12, 1 Ce 3.25
3 Ce 0.3333 0.6667 0.8922  12 Ni 2.97-3.01, 3 Ce 3.06, 1 Sm 3.22
4 Sm 0.3333 0.6667 0.5116  12 Ni 2.97-3.03, 4 Ce 3.12-3.22
5 Ni 0.3410 0.1705 0.6998  6 Ni 2.47-2.59
6 Ni 0.5034 0.0069 0.1990  6 Ni 2.48-2.58
7 Ni 0.6667 0.3333 0.4482  6 Ni 2.55-2.56
8 Ni 0.6667 0.3333 0.9520  6 Ni 2.53-2.57

## Properties
- Calculated total energy: -73.0 eV/f.u.

***

No. 17
# Ce2SmNi9

An optimized crystal structure of Ce2SmNi9 (GGA-PBE, Alexandria via LeMat-Bulk).

Lattice parameters (Å, degrees): 4.9608 4.9608 24.6904 90.00 90.00 120.00
Closest atoms and distances in Å follow each position.
Space group R-3m (No. 166, hexagonal axes)
Unique sites:
1 Ce 0.0000 0.0000 0.1387  12 Ni 2.85-3.12, 3 Ce 3.18
2 Sm 0.0000 0.0000 0.0000  18 Ni 2.86-3.21
3 Ni 0.0000 0.0000 0.3329  6 Ni 2.48-2.50
4 Ni 0.0000 0.0000 0.5000  6 Ni 2.53
5 Ni 0.9998 0.4999 0.0823  7 Ni 2.48-2.53

## Properties
- Calculated total energy: -73.2 eV/f.u.

***

No. 18
# CeSm2Ni9

An optimized crystal structure of CeSm2Ni9 (GGA-PBE, Alexandria via LeMat-Bulk).

Lattice parameters (Å, degrees): 4.9839 4.9839 24.7279 90.00 90.00 120.00
Closest atoms and distances in Å follow each position.
Space group R-3m (No. 166, hexagonal axes)
Unique sites:
1 Ce 0.0000 0.0000 0.0000  18 Ni 2.88-3.21
2 Sm 0.0000 0.0000 0.1388  12 Ni 2.87-3.14, 3 Sm 3.19
3 Ni 0.0000 0.0000 0.3330  6 Ni 2.47-2.48
4 Ni 0.0000 0.0000 0.5000  6 Ni 2.55
5 Ni 0.0002 0.5001 0.0815  7 Ni 2.47-2.55

## Properties
- Calculated total energy: -71.8 eV/f.u.

***

No. 19
# Ce2SmNi

An optimized crystal structure of Ce2SmNi (GGA-PBE, Alexandria via LeMat-Bulk).

Lattice parameters (Å, degrees): 3.6943 3.6943 27.7107 90.00 90.00 120.00
Closest atoms and distances in Å follow each position.
Space group R3m (No. 160, hexagonal axes)
Unique sites:
1 Ce 0.0000 0.0000 0.0000  3 Ni 2.76
2 Ce 0.0000 0.0000 0.2078  3 Ni 2.74
3 Sm 0.0000 0.0000 0.7725  6 Ce 3.54-3.63, 6 Sm 3.69
4 Ni 0.0000 0.0000 0.6033  6 Ce 2.74-2.76

## Properties
- Calculated total energy: -22.4 eV/f.u.

***

No. 20
# CeNiSn

An optimized crystal structure of CeNiSn (GGA-PBE, Alexandria via LeMat-Bulk).

Lattice parameters (Å, degrees): 11.4518 4.3816 5.0924 90.00 92.73 90.00
Closest atoms and distances in Å follow each position.
Space group C2/m (No. 12)
Unique sites:
1 Ce 0.1089 0.0000 0.1816  3 Ni 2.69-2.98
2 Ni 0.2280 0.0000 0.6492  3 Sn 2.62-2.69, 1 Ce 2.69, 2 Ni 2.73
3 Sn 0.1055 0.5000 0.7047  3 Ni 2.62-2.69

## Properties
- Calculated total energy: -17.3 eV/f.u.

***

No. 21
# CeNi2Sn

An optimized crystal structure of CeNi2Sn (GGA-PBE, Alexandria via LeMat-Bulk).

Lattice parameters (Å, degrees): 4.5023 4.5023 12.6305 90.00 90.00 120.00
Closest atoms and distances in Å follow each position.
Space group R-3m (No. 166, hexagonal axes)
Unique sites:
1 Ce 0.0000 0.0000 0.0000  2 Ni 2.67
2 Ni 0.0000 0.0000 0.2115  3 Sn 2.66, 1 Ce 2.67, 3 Ni 2.84
3 Sn 0.0000 0.0000 0.5000  6 Ni 2.66

## Properties
- Calculated total energy: -23.3 eV/f.u.

***

No. 22
# CeNi3Sn

An optimized crystal structure of CeNi3Sn (GGA-PBE, Alexandria via LeMat-Bulk).

Lattice parameters (Å, degrees): 4.8731 16.2797 4.5188 90.00 90.00 90.00
Closest atoms and distances in Å follow each position.
Space group Cmcm (No. 63)
Unique sites:
1 Ce 0.0000 0.0875 0.2500  2 Ni 2.44
2 Ni 0.0000 0.5000 0.0000  2 Ni 2.26
3 Ni 0.2378 0.2849 0.7500  4 Ni 2.32-2.55, 1 Ce 2.44, 1 Sn 2.60
4 Sn 0.0000 0.3539 0.2500  8 Ni 2.60-2.78

## Properties
- Calculated total energy: -28.0 eV/f.u.

***

No. 23
# Ce2Ni2Sn

An optimized crystal structure of Ce2Ni2Sn (GGA-PBE, Alexandria via LeMat-Bulk).

Lattice parameters (Å, degrees): 4.3696 5.8044 8.1626 90.00 90.00 90.00
Closest atoms and distances in Å follow each position.
Space group Immm (No. 71)
Unique sites:
1 Ce 0.0000 0.0000 0.2016  6 Ni 2.95-3.00, 2 Sn 3.27, 1 Ce 3.29
2 Ni 0.0000 0.2879 0.5000  1 Ni 2.46, 2 Sn 2.75
3 Sn 0.0000 0.5000 0.0000  4 Ni 2.75

## Properties
- Calculated total energy: -29.9 eV/f.u.

***

No. 24
# Ce2NiSn

An optimized crystal structure of Ce2NiSn (GGA-PBE, Alexandria via LeMat-Bulk).

Lattice parameters (Å, degrees): 4.9280 4.9280 14.3107 90.00 90.00 120.00
Closest atoms and distances in Å follow each position.
Space group R-3m (No. 166, hexagonal axes)
Unique sites:
1 Ce 0.0000 0.0000 0.2364  3 Ni 3.02, 3 Sn 3.17
2 Ni 0.0000 0.0000 0.5000  6 Ce 3.02
3 Sn 0.0000 0.0000 0.0000  8 Ce 3.17-3.38

## Properties
- Calculated total energy: -22.6 eV/f.u.